DFT (SCAN) results for a PBEsol-optimized structure of RbSc2HgTe.

Structure (POSCAR):
```
RbSc2HgTe
1.0
5.327 0.000 0.000
0.000 5.327 0.000
0.000 0.000 6.139
Rb Sc Hg Te
1 2 1 1
Direct
0.000 0.000 0.000 Rb
0.000 0.500 0.500 Sc
0.500 0.000 0.500 Sc
0.500 0.500 0.500 Hg
0.500 0.500 0.000 Te
```

Results
VASP energy = -30.80 eV per atom
formation energy (no corrections) = 0.12 eV per atom
magnetic moment = 0.0 μB per cell